1.
VASP calculation (PBE) on a geometry-optimized Zn5Ga4Ag structure. Values from VASP.

Cell and atoms, written as Quantum ESPRESSO input:
```
&SYSTEM
  ibrav = 0, nat = 10, ntyp = 3
/
ATOMIC_SPECIES
Zn 65.41 Zn.upf
Ga 69.72 Ga.upf
Ag 107.87 Ag.upf
CELL_PARAMETERS angstrom
3.0583 0.0000 0.3749
1.5061 2.6617 0.3749
-0.9769 -0.5696 20.6281
ATOMIC_POSITIONS crystal
Zn 0.3987 0.3987 0.8040
Zn 0.0000 0.0000 0.0000
Zn 0.6013 0.6013 0.1960
Zn 0.7991 0.7991 0.6026
Zn 0.2009 0.2009 0.3974
Ga 0.9013 0.9013 0.2960
Ga 0.3005 0.3005 0.0985
Ga 0.6995 0.6995 0.9015
Ga 0.0987 0.0987 0.7040
Ag 0.5000 0.5000 0.5000
```

## Properties
- raw total energy (eV per atom) = -2.09
- magnetic moment (μB per atom) = 0.000
- distance to the lowest polymorph of the same formula (eV/f.u.) = 0.00
- SG = R-3m (166)

2.
VASP calculation (PBE) on a geometry-optimized Zn3GaAg structure. Values from VASP.

Cell and atoms, written as Quantum ESPRESSO input:
```
&SYSTEM
  ibrav = 0, nat = 5, ntyp = 3
/
ATOMIC_SPECIES
Zn 65.41 Zn.upf
Ga 69.72 Ga.upf
Ag 107.87 Ag.upf
CELL_PARAMETERS angstrom
4.9070 0.0000 0.0000
0.0000 4.9070 0.0000
0.0000 0.0000 4.9070
ATOMIC_POSITIONS crystal
Zn 0.0000 0.5000 0.0000
Zn 0.0000 0.0000 0.5000
Zn 0.5000 0.0000 0.0000
Ga 0.5000 0.5000 0.5000
Ag 0.0000 0.0000 0.0000
```

## Properties
- raw total energy (eV per atom) = -1.54
- magnetic moment (μB per atom) = 0.000
- distance to the lowest polymorph of the same formula (eV/f.u.) = 1.92
- SG = Pm-3m (221)

3.
VASP calculation (PBE) on a geometry-optimized Zn2Ga2Ag structure. Values from VASP.

Cell and atoms, written as Quantum ESPRESSO input:
```
&SYSTEM
  ibrav = 0, nat = 5, ntyp = 3
/
ATOMIC_SPECIES
Zn 65.41 Zn.upf
Ga 69.72 Ga.upf
Ag 107.87 Ag.upf
CELL_PARAMETERS angstrom
3.8585 0.0000 0.0000
0.0000 3.8585 0.0000
1.9292 1.9292 6.0530
ATOMIC_POSITIONS crystal
Zn 0.7500 0.2500 0.5000
Zn 0.2500 0.7500 0.5000
Ga 0.3977 0.3977 0.2045
Ga 0.6023 0.6023 0.7955
Ag 0.0000 0.0000 0.0000
```

## Properties
- raw total energy (eV per atom) = -2.16
- magnetic moment (μB per atom) = 0.000
- distance to the lowest polymorph of the same formula (eV/f.u.) = 0.25
- SG = I4/mmm (139)

4.
VASP calculation (PBE) on a geometry-optimized Zn3Ga2Ag4 structure. Values from VASP.

Cell and atoms, written as Quantum ESPRESSO input:
```
&SYSTEM
  ibrav = 0, nat = 9, ntyp = 3
/
ATOMIC_SPECIES
Zn 65.41 Zn.upf
Ga 69.72 Ga.upf
Ag 107.87 Ag.upf
CELL_PARAMETERS angstrom
2.9868 0.0000 0.0000
-1.4934 2.5867 0.0000
0.0000 0.0000 20.1133
ATOMIC_POSITIONS crystal
Zn 0.0000 0.0000 0.9790
Zn 0.0000 0.0000 0.3235
Zn 0.6667 0.3333 0.6554
Ga 0.6667 0.3333 0.0852
Ga 0.6667 0.3333 0.8750
Ag 0.0000 0.0000 0.5487
Ag 0.6667 0.3333 0.4304
Ag 0.6667 0.3333 0.2165
Ag 0.0000 0.0000 0.7634
```

## Properties
- raw total energy (eV per atom) = -2.34
- magnetic moment (μB per atom) = 0.000
- distance to the lowest polymorph of the same formula (eV/f.u.) = 0.32
- SG = P3m1 (156)

5.
VASP calculation (PBE) on a geometry-optimized ZnGaAg3 structure. Values from VASP.

Cell and atoms, written as Quantum ESPRESSO input:
```
&SYSTEM
  ibrav = 0, nat = 20, ntyp = 3
/
ATOMIC_SPECIES
Zn 65.41 Zn.upf
Ga 69.72 Ga.upf
Ag 107.87 Ag.upf
CELL_PARAMETERS angstrom
6.0194 0.0000 0.0000
0.0000 7.5714 -3.5176
0.0000 -0.7618 8.1110
ATOMIC_POSITIONS crystal
Zn 0.2099 0.5002 0.4998
Zn 0.7901 0.4998 0.5002
Zn 0.7099 0.9998 0.0002
Zn 0.2901 0.0002 0.9998
Ga 0.7859 0.0001 0.4995
Ga 0.2141 0.9999 0.5005
Ga 0.2859 0.4999 0.0005
Ga 0.7141 0.5001 0.9995
Ag 0.0004 0.1524 0.2967
Ag 0.9996 0.8476 0.7033
Ag 0.5004 0.3476 0.2033
Ag 0.4996 0.6524 0.7967
Ag 0.4995 0.2524 0.5000
Ag 0.5005 0.7476 0.5000
Ag 0.9995 0.2476 0.0000
Ag 0.0005 0.7524 0.0000
Ag 0.0008 0.3520 0.7001
Ag 0.9992 0.6480 0.2999
Ag 0.5008 0.1480 0.7999
Ag 0.4992 0.8520 0.2001
```

## Properties
- raw total energy (eV per atom) = -2.52
- magnetic moment (μB per atom) = 0.000
- distance to the lowest polymorph of the same formula (eV/f.u.) = 0.00
- SG = P2_1/c (14)

6.
VASP calculation (PBE) on a geometry-optimized ZnGaAg5 structure. Values from VASP.

Cell and atoms, written as Quantum ESPRESSO input:
```
&SYSTEM
  ibrav = 0, nat = 14, ntyp = 3
/
ATOMIC_SPECIES
Zn 65.41 Zn.upf
Ga 69.72 Ga.upf
Ag 107.87 Ag.upf
CELL_PARAMETERS angstrom
7.3664 -1.7504 -0.0919
0.6771 7.5412 -0.0919
2.7945 2.0118 4.6739
ATOMIC_POSITIONS crystal
Zn 0.5005 0.4995 0.2500
Zn 0.4995 0.5005 0.7500
Ga 0.0000 0.0000 0.0000
Ga 0.0000 0.0000 0.5000
Ag 0.5860 0.8442 0.2835
Ag 0.1534 0.4142 0.7072
Ag 0.8442 0.5860 0.7835
Ag 0.7861 0.2139 0.2500
Ag 0.5858 0.8466 0.7928
Ag 0.4142 0.1534 0.2072
Ag 0.2139 0.7861 0.7500
Ag 0.1558 0.4140 0.2165
Ag 0.8466 0.5858 0.2928
Ag 0.4140 0.1558 0.7165
```

## Properties
- raw total energy (eV per atom) = -2.54
- magnetic moment (μB per atom) = 0.000
- distance to the lowest polymorph of the same formula (eV/f.u.) = 0.35
- SG = C2/c (15)